No. 1
Material: Li2CrCdRe
Method: DFT, PBE
State: relaxed

Unit cell a=4.2756 b=4.2756 c=4.9526 alpha=90.00 beta=90.00 gamma=90.00
Closest atoms and distances in Å follow each position.
Fractional coordinates of all 5 atoms:
Li 0.0000 0.5000 0.0000  2 Cr 2.14
Li 0.5000 0.0000 0.0000  2 Cr 2.14
Cr 0.0000 0.0000 0.0000  4 Li 2.14
Cd 0.0000 0.0000 0.5000  2 Cr 2.48
Re 0.5000 0.5000 0.5000  4 Cd 3.02, 8 Li 3.27

Output
**Magnetic moment**: 4.977 Bohr magnetons per cell
**Calculated total energy**: -3.70 eV/atom



No. 2
Material: LiCr2CdRh
Method: DFT, PBE
State: relaxed

Unit cell a=4.7353 b=4.7353 c=5.1887 alpha=90.00 beta=90.00 gamma=90.00
Closest atoms and distances in Å follow each position.
Fractional coordinates of all 5 atoms:
Li 0.0000 0.0000 0.0000  4 Cd 3.35, 8 Cr 3.51
Cr 0.0000 0.5000 0.5000  2 Rh 2.37
Cr 0.5000 0.0000 0.5000  2 Rh 2.37
Cd 0.5000 0.5000 0.0000  2 Rh 2.59
Rh 0.5000 0.5000 0.5000  4 Cr 2.37, 2 Cd 2.59

Output
**Magnetic moment**: 7.217 Bohr magnetons per cell
**Calculated total energy**: -5.15 eV/atom



No. 3
Material: LiCrCdS2
Method: DFT, PBE
State: relaxed

Unit cell a=5.1024 b=5.1024 c=5.1007 alpha=90.00 beta=90.00 gamma=90.00
Closest atoms and distances in Å follow each position.
Fractional coordinates of all 5 atoms:
Li 0.0000 0.0000 0.0000  8 S 3.61, 4 Cr 3.61
Cr 0.5000 0.5000 0.0000  2 Cd 2.55
Cd 0.5000 0.5000 0.5000  2 Cr 2.55, 4 S 2.55
S 0.0000 0.5000 0.5000  2 Cd 2.55
S 0.5000 0.0000 0.5000  2 Cd 2.55

Output
**Magnetic moment**: 5.040 Bohr magnetons per cell
**Calculated total energy**: -3.59 eV/atom
**Formation energy (no corrections)**: 268 kJ/mol of formula units



No. 4
Material: LiCrCdSn
Method: DFT, PBE
State: relaxed

Unit cell a=6.6767 b=6.6767 c=6.6767 alpha=90.00 beta=90.00 gamma=90.00
Closest atoms and distances in Å follow each position.
Fractional coordinates of all 16 atoms:
Li 0.0000 0.0000 0.0000  4 Cd 2.89, 4 Sn 2.89
Li 0.0000 0.5000 0.5000  4 Cd 2.89, 4 Sn 2.89
Li 0.5000 0.0000 0.5000  4 Cd 2.89, 4 Sn 2.89
Li 0.5000 0.5000 0.0000  4 Cd 2.89, 4 Sn 2.89
Cr 0.0000 0.0000 0.5000  4 Cd 2.89, 4 Sn 2.89
Cr 0.0000 0.5000 0.0000  4 Cd 2.89, 4 Sn 2.89
Cr 0.5000 0.0000 0.0000  4 Cd 2.89, 4 Sn 2.89
Cr 0.5000 0.5000 0.5000  4 Cd 2.89, 4 Sn 2.89
Cd 0.2500 0.2500 0.2500  4 Cr 2.89, 4 Li 2.89
Cd 0.2500 0.7500 0.7500  4 Cr 2.89, 4 Li 2.89
Cd 0.7500 0.2500 0.7500  4 Cr 2.89, 4 Li 2.89
Cd 0.7500 0.7500 0.2500  4 Cr 2.89, 4 Li 2.89
Sn 0.2500 0.2500 0.7500  4 Cr 2.89, 4 Li 2.89
Sn 0.2500 0.7500 0.2500  4 Cr 2.89, 4 Li 2.89
Sn 0.7500 0.2500 0.2500  4 Cr 2.89, 4 Li 2.89
Sn 0.7500 0.7500 0.7500  4 Cr 2.89, 4 Li 2.89

Output
**Magnetic moment**: 14.926 Bohr magnetons per cell
**Calculated total energy**: -4.14 eV/atom



No. 5
Material: LiVCr2Cd
Method: DFT, PBE
State: relaxed

Unit cell a=4.3767 b=4.3767 c=5.2420 alpha=90.00 beta=90.00 gamma=90.00
Closest atoms and distances in Å follow each position.
Fractional coordinates of all 5 atoms:
Li 0.0000 0.0000 0.0000  4 Cd 3.09, 8 Cr 3.41
V 0.5000 0.5000 0.5000  4 Cr 2.19
Cr 0.0000 0.5000 0.5000  2 V 2.19
Cr 0.5000 0.0000 0.5000  2 V 2.19
Cd 0.5000 0.5000 0.0000  2 V 2.62

Output
**Magnetic moment**: 4.168 Bohr magnetons per cell
**Calculated total energy**: -5.32 eV/atom



No. 6
Material: Li2YCrCd
Method: DFT, PBE
State: relaxed

Unit cell a=5.2671 b=5.2671 c=4.7825 alpha=90.00 beta=90.00 gamma=90.00
Closest atoms and distances in Å follow each position.
Fractional coordinates of all 5 atoms:
Li 0.0000 0.5000 0.0000  2 Y 2.63
Li 0.5000 0.0000 0.0000  2 Y 2.63
Y 0.0000 0.0000 0.0000  2 Cr 2.39, 4 Li 2.63
Cr 0.0000 0.0000 0.5000  2 Y 2.39
Cd 0.5000 0.5000 0.5000  8 Li 3.56, 4 Cr 3.72

Output
**Magnetic moment**: 2.597 Bohr magnetons per cell
**Calculated total energy**: -2.96 eV/atom